<w>
{"formula": "VRe3Ge", "functional": "PBE", "state": "relaxed", "lattice": [[4.528, 0.000, 0.000], [0.000, 4.528, 0.000], [0.000, 0.000, 4.528]], "species": ["V", "Re", "Re", "Re", "Ge"], "fractional_positions": [[0.000, 0.000, 0.000], [0.000, 0.000, 0.500], [0.000, 0.500, 0.000], [0.500, 0.000, 0.000], [0.500, 0.500, 0.500]]}

<x>
{"formula": "VRe3Ge", "functional": "PBE", "state": "relaxed", "lattice": [[4.491, 0.000, 0.000], [0.000, 4.491, 0.000], [0.000, 0.000, 4.491]], "species": ["V", "Re", "Re", "Re", "Ge"], "fractional_positions": [[0.000, 0.000, 0.000], [0.000, 0.500, 0.500], [0.500, 0.000, 0.500], [0.500, 0.500, 0.000], [0.500, 0.500, 0.500]]}

In order of decreasing stability: <x>, <w>.

<w>
{"formula": "ReGe2W", "functional": "PBE", "state": "relaxed", "lattice": [[0.000, 3.109, 3.109], [3.109, 0.000, 3.109], [3.109, 3.109, 0.000]], "species": ["Re", "Ge", "Ge", "W"], "fractional_positions": [[0.000, 0.000, 0.000], [0.250, 0.250, 0.250], [0.750, 0.750, 0.750], [0.500, 0.500, 0.500]]}

<x>
{"formula": "ReGe2W", "functional": "PBE", "state": "relaxed", "lattice": [[-3.539, 3.539, 2.697], [3.539, -3.539, 2.697], [3.539, 3.539, -2.697]], "species": ["Re", "Re", "Ge", "Ge", "Ge", "Ge", "W", "W"], "fractional_positions": [[0.000, 0.000, 0.000], [0.750, 0.250, 0.500], [0.115, 0.625, 0.990], [0.375, 0.365, 0.490], [0.635, 0.125, 0.010], [0.875, 0.885, 0.510], [0.250, 0.750, 0.500], [0.500, 0.500, 0.000]]}

In order of decreasing stability: <w>, <x>.

<w>
{"formula": "ZnRe2Ge2", "functional": "PBE", "state": "relaxed", "lattice": [[6.978, 0.000, 0.000], [0.000, 6.978, 0.000], [0.000, 0.000, 3.209]], "species": ["Zn", "Zn", "Re", "Re", "Re", "Re", "Ge", "Ge", "Ge", "Ge"], "fractional_positions": [[0.000, 0.000, 0.000], [0.500, 0.500, 0.000], [0.146, 0.354, 0.000], [0.354, 0.854, 0.000], [0.646, 0.146, 0.000], [0.854, 0.646, 0.000], [0.151, 0.651, 0.500], [0.349, 0.151, 0.500], [0.651, 0.849, 0.500], [0.849, 0.349, 0.500]]}

<x>
{"formula": "ZnRe2Ge2", "functional": "PBE", "state": "relaxed", "lattice": [[-1.767, 1.767, 6.416], [1.767, -1.767, 6.416], [1.767, 1.767, -6.416]], "species": ["Zn", "Re", "Re", "Ge", "Ge"], "fractional_positions": [[0.000, 0.000, 0.000], [0.398, 0.398, 0.000], [0.602, 0.602, 0.000], [0.250, 0.750, 0.500], [0.750, 0.250, 0.500]]}

In order of decreasing stability: <w>, <x>.

<w>
{"formula": "ZrReGe", "functional": "PBE", "state": "relaxed", "lattice": [[7.740, -1.494, 0.000], [7.740, 1.494, 0.000], [-0.043, 0.000, 9.210]], "species": ["Zr", "Zr", "Zr", "Zr", "Re", "Re", "Re", "Re", "Ge", "Ge", "Ge", "Ge"], "fractional_positions": [[0.046, 0.046, 0.374], [0.440, 0.440, 0.132], [0.560, 0.560, 0.868], [0.954, 0.954, 0.626], [0.221, 0.221, 0.373], [0.228, 0.228, 0.875], [0.772, 0.772, 0.125], [0.779, 0.779, 0.627], [0.129, 0.129, 0.115], [0.139, 0.139, 0.632], [0.861, 0.861, 0.368], [0.871, 0.871, 0.885]]}

<x>
{"formula": "ZrReGe", "functional": "PBE", "state": "relaxed", "lattice": [[11.770, 0.000, 0.000], [0.000, 3.922, 0.000], [0.000, 0.000, 6.835]], "species": ["Zr", "Zr", "Zr", "Zr", "Zr", "Zr", "Re", "Re", "Re", "Re", "Re", "Re", "Ge", "Ge", "Ge", "Ge", "Ge", "Ge"], "fractional_positions": [[0.049, 0.000, 0.241], [0.250, 0.000, 0.862], [0.451, 0.000, 0.241], [0.549, 0.000, 0.759], [0.750, 0.000, 0.138], [0.951, 0.000, 0.759], [0.102, 0.500, 0.548], [0.250, 0.500, 0.211], [0.398, 0.500, 0.548], [0.602, 0.500, 0.452], [0.750, 0.500, 0.789], [0.898, 0.500, 0.452], [0.099, 0.500, 0.933], [0.250, 0.000, 0.463], [0.401, 0.500, 0.933], [0.599, 0.500, 0.067], [0.750, 0.000, 0.537], [0.901, 0.500, 0.067]]}

In order of decreasing stability: <x>, <w>.

<w>
{"formula": "Ge3Rh2", "functional": "PBE", "state": "relaxed", "lattice": [[3.010, 1.738, 5.790], [-3.010, 1.738, 5.790], [0.000, -3.475, 5.790]], "species": ["Ge", "Ge", "Ge", "Ge", "Ge", "Ge", "Rh", "Rh", "Rh", "Rh"], "fractional_positions": [[0.100, 0.750, 0.400], [0.250, 0.600, 0.900], [0.400, 0.100, 0.750], [0.600, 0.900, 0.250], [0.750, 0.400, 0.100], [0.900, 0.250, 0.600], [0.168, 0.168, 0.168], [0.332, 0.332, 0.332], [0.668, 0.668, 0.668], [0.832, 0.832, 0.832]]}

<x>
{"formula": "Ge3Rh2", "functional": "PBE", "state": "relaxed", "lattice": [[6.343, -1.684, 0.000], [6.343, 1.684, 0.000], [-4.963, 0.000, 7.747]], "species": ["Ge", "Ge", "Ge", "Ge", "Ge", "Ge", "Rh", "Rh", "Rh", "Rh"], "fractional_positions": [[0.082, 0.082, 0.314], [0.385, 0.385, 0.963], [0.393, 0.393, 0.366], [0.607, 0.607, 0.634], [0.615, 0.615, 0.037], [0.918, 0.918, 0.686], [0.148, 0.148, 0.859], [0.253, 0.253, 0.634], [0.747, 0.747, 0.366], [0.852, 0.852, 0.141]]}

In order of decreasing stability: <x>, <w>.

<w>
{"formula": "Ge2Ru2Rh", "functional": "PBE", "state": "relaxed", "lattice": [[-1.838, 1.838, 5.847], [1.838, -1.838, 5.847], [1.838, 1.838, -5.847]], "species": ["Ge", "Ge", "Ru", "Ru", "Rh"], "fractional_positions": [[0.250, 0.750, 0.500], [0.750, 0.250, 0.500], [0.105, 0.105, 0.000], [0.895, 0.895, 0.000], [0.500, 0.500, 0.000]]}

<x>
{"formula": "Ge2Ru2Rh", "functional": "PBE", "state": "relaxed", "lattice": [[7.073, 0.000, 0.000], [0.000, 7.073, 0.000], [0.000, 0.000, 2.905]], "species": ["Ge", "Ge", "Ge", "Ge", "Ru", "Ru", "Ru", "Ru", "Rh", "Rh"], "fractional_positions": [[0.151, 0.349, 0.000], [0.349, 0.849, 0.000], [0.651, 0.151, 0.000], [0.849, 0.651, 0.000], [0.149, 0.649, 0.500], [0.351, 0.149, 0.500], [0.649, 0.851, 0.500], [0.851, 0.351, 0.500], [0.000, 0.000, 0.000], [0.500, 0.500, 0.000]]}

In order of decreasing stability: <x>, <w>.

<w>
{"formula": "Ge2RuRh", "functional": "PBE", "state": "relaxed", "lattice": [[3.083, 0.000, 0.000], [0.000, 3.083, 0.000], [0.000, 0.000, 6.039]], "species": ["Ge", "Ge", "Ru", "Rh"], "fractional_positions": [[0.000, 0.000, 0.247], [0.000, 0.000, 0.753], [0.500, 0.500, 0.000], [0.500, 0.500, 0.500]]}

<x>
{"formula": "Ge2RuRh", "functional": "PBE", "state": "relaxed", "lattice": [[-2.762, 2.762, 5.460], [2.762, -2.762, 5.460], [2.762, 2.762, -5.460]], "species": ["Ge", "Ge", "Ge", "Ge", "Ru", "Ru", "Rh", "Rh"], "fractional_positions": [[0.123, 0.625, 0.998], [0.375, 0.373, 0.498], [0.627, 0.125, 0.002], [0.875, 0.877, 0.502], [0.000, 0.000, 0.000], [0.750, 0.250, 0.500], [0.250, 0.750, 0.500], [0.500, 0.500, 0.000]]}

<y>
{"formula": "Ge2RuRh", "functional": "PBE", "state": "relaxed", "lattice": [[0.000, 3.065, 3.065], [3.065, 0.000, 3.065], [3.065, 3.065, 0.000]], "species": ["Ge", "Ge", "Ru", "Rh"], "fractional_positions": [[0.250, 0.250, 0.250], [0.750, 0.750, 0.750], [0.000, 0.000, 0.000], [0.500, 0.500, 0.500]]}

In order of decreasing stability: <w>, <y>, <x>.

<w>
{"formula": "GeRh3S", "functional": "PBE", "state": "relaxed", "lattice": [[4.411, 0.000, 0.000], [0.000, 4.411, 0.000], [0.000, 0.000, 4.411]], "species": ["Ge", "Rh", "Rh", "Rh", "S"], "fractional_positions": [[0.000, 0.000, 0.000], [0.000, 0.500, 0.500], [0.500, 0.000, 0.500], [0.500, 0.500, 0.000], [0.500, 0.500, 0.500]]}

<x>
{"formula": "GeRh3S", "functional": "PBE", "state": "relaxed", "lattice": [[4.565, 0.000, 0.000], [0.000, 4.565, 0.000], [0.000, 0.000, 4.565]], "species": ["Ge", "Rh", "Rh", "Rh", "S"], "fractional_positions": [[0.000, 0.000, 0.000], [0.000, 0.000, 0.500], [0.000, 0.500, 0.000], [0.500, 0.000, 0.000], [0.500, 0.500, 0.500]]}

In order of decreasing stability: <w>, <x>.